#P
Entry from Alexandria: a geometry-optimized LiCoOs structure (PBE).

Cell: 5.6156 5.6156 5.6156 Å, 152.44 152.44 39.36°
Last column: nearest neighbours and their distance in Å.
Sites, in units of the cell vectors:
Co 0.0058 0.0058 0.0000  4 Os 2.46, 4 Li 2.58, 4 Co 2.67
Li 0.3400 0.3400 0.0000  4 Co 2.58, 4 Li 2.67, 4 Os 2.73
Os 0.6542 0.6542 0.0000  4 Co 2.46, 4 Os 2.67, 4 Li 2.73

Magnetic moment (μB per formula unit): 0.45
Fermi-level density of states (states/eV/atom): 0.877
SG: I4mm (107)

---

#Q
Entry from Alexandria: a geometry-optimized LiCoOs structure (PBE).

Cell: 4.1493 4.1493 4.9710 Å, 90.00 90.00 120.00°
Last column: nearest neighbours and their distance in Å.
Sites, in units of the cell vectors:
Co 0.3333 0.6667 0.2500  5 Os 2.40-2.49
Co 0.6667 0.3333 0.7500  5 Os 2.40-2.49
Os 0.3333 0.6667 0.7500  5 Co 2.40-2.49
Os 0.6667 0.3333 0.2500  5 Co 2.40-2.49
Li 0.0000 0.0000 0.0000  2 Li 2.49, 6 Co 2.70, 6 Os 2.70
Li 0.0000 0.0000 0.5000  2 Li 2.49, 6 Co 2.70, 6 Os 2.70

Magnetic moment (μB per formula unit): 0.00
Fermi-level density of states (states/eV/atom): 1.163
SG: P6_3/mmc (194)

---

The structure with the least stability is #Q.

---

#P
Entry from Alexandria: a geometry-optimized LiCoOs structure (PBE).

Cell: 12.9069 4.9342 4.9342 Å, 125.45 148.21 31.79°
Last column: nearest neighbours and their distance in Å.
Sites, in units of the cell vectors:
Co 0.5000 0.6877 0.6877  4 Os 2.56-2.58, 6 Li 2.57-2.62, 2 Co 2.73
Co 0.0000 0.3769 0.3769  4 Li 2.54-2.59, 6 Os 2.58-2.60, 2 Co 2.73
Os 0.3300 0.3818 0.3737  3 Os 2.55-2.61, 4 Li 2.55-2.73, 5 Co 2.56-2.60
Os 0.6700 0.3737 0.3818  3 Os 2.55-2.61, 4 Li 2.55-2.73, 5 Co 2.56-2.60
Li 0.1662 0.6932 0.6878  5 Co 2.54-2.62, 4 Os 2.55-2.73, 3 Li 2.58-2.60
Li 0.8338 0.6878 0.6932  5 Co 2.54-2.62, 4 Os 2.55-2.73, 3 Li 2.58-2.60

Magnetic moment (μB per formula unit): 1.43
Fermi-level density of states (states/eV/atom): 0.957
SG: C2 (5)

---

#Q
Entry from Alexandria: a geometry-optimized LiCoOs structure (PBE).

Cell: 6.7556 3.7425 6.7068 Å, 90.00 90.00 90.00°
Last column: nearest neighbours and their distance in Å.
Sites, in units of the cell vectors:
Co 0.7773 0.2500 0.3420  4 Os 2.28-2.47
Co 0.7227 0.7500 0.8420  4 Os 2.28-2.47
Co 0.2227 0.7500 0.6580  4 Os 2.28-2.47
Co 0.2773 0.2500 0.1580  4 Os 2.28-2.47
Os 0.1240 0.2500 0.4605  4 Co 2.28-2.47
Os 0.3760 0.7500 0.9605  4 Co 2.28-2.47
Os 0.8760 0.7500 0.5395  4 Co 2.28-2.47
Os 0.6240 0.2500 0.0395  4 Co 2.28-2.47
Li 0.0162 0.2500 0.8549  5 Co 2.68-2.73, 2 Li 2.71, 4 Os 2.74-2.98
Li 0.4838 0.7500 0.3549  5 Co 2.68-2.73, 2 Li 2.71, 4 Os 2.74-2.98
Li 0.9838 0.7500 0.1451  5 Co 2.68-2.73, 2 Li 2.71, 4 Os 2.74-2.98
Li 0.5162 0.2500 0.6451  5 Co 2.68-2.73, 2 Li 2.71, 4 Os 2.74-2.98

Magnetic moment (μB per formula unit): 0.00
Fermi-level density of states (states/eV/atom): 0.848
SG: Pnma (62)

---

#R
Entry from Alexandria: a geometry-optimized LiCoOs structure (PBE).

Cell: 4.1563 4.8859 4.1561 Å, 90.00 60.00 89.99°
Last column: nearest neighbours and their distance in Å.
Sites, in units of the cell vectors:
Os 0.9149 0.6483 0.6928  5 Co 2.44-2.69, 3 Os 2.62, 3 Li 2.71
Os 0.5815 0.4346 0.3595  3 Co 2.41, 2 Li 2.43-2.46, 3 Os 2.62
Co 0.2482 0.3981 0.0261  2 Li 2.40-2.48, 3 Os 2.41
Co 0.9148 0.1471 0.6928  2 Os 2.44-2.45, 6 Li 2.61-2.67, 3 Co 2.69-2.70
Li 0.2483 0.9060 0.0260  3 Li 2.40, 5 Co 2.40-2.67
Li 0.5815 0.9373 0.3595  3 Li 2.40, 2 Os 2.43-2.46, 3 Co 2.61

Magnetic moment (μB per formula unit): 0.08
Fermi-level density of states (states/eV/atom): 0.858
SG: P3m1 (156)

---

#S
Entry from Alexandria: a geometry-optimized LiCoOs structure (PBE).

Cell: 6.9095 2.5968 8.1735 Å, 90.00 90.00 90.00°
Last column: nearest neighbours and their distance in Å.
Sites, in units of the cell vectors:
Co 0.8605 0.2500 0.7700  4 Li 2.49-2.55, 5 Os 2.50-2.63, 2 Co 2.60
Co 0.6395 0.7500 0.2700  4 Li 2.49-2.55, 5 Os 2.50-2.63, 2 Co 2.60
Co 0.1395 0.7500 0.2300  4 Li 2.49-2.55, 5 Os 2.50-2.63, 2 Co 2.60
Co 0.3605 0.2500 0.7300  4 Li 2.49-2.55, 5 Os 2.50-2.63, 2 Co 2.60
Os 0.3641 0.2500 0.4087  5 Co 2.50-2.63, 3 Li 2.59-2.70, 4 Os 2.60-2.73
Os 0.1359 0.7500 0.9087  5 Co 2.50-2.63, 3 Li 2.59-2.70, 4 Os 2.60-2.73
Os 0.6359 0.7500 0.5913  5 Co 2.50-2.63, 3 Li 2.59-2.70, 4 Os 2.60-2.73
Os 0.8641 0.2500 0.0913  5 Co 2.50-2.63, 3 Li 2.59-2.70, 4 Os 2.60-2.73
Li 0.9002 0.2500 0.4071  4 Li 2.43-2.60, 4 Co 2.49-2.55, 3 Os 2.59-2.70
Li 0.5998 0.7500 0.9071  4 Li 2.43-2.60, 4 Co 2.49-2.55, 3 Os 2.59-2.70
Li 0.0998 0.7500 0.5929  4 Li 2.43-2.60, 4 Co 2.49-2.55, 3 Os 2.59-2.70
Li 0.4002 0.2500 0.0929  4 Li 2.43-2.60, 4 Co 2.49-2.55, 3 Os 2.59-2.70

Magnetic moment (μB per formula unit): 0.00
Fermi-level density of states (states/eV/atom): 0.841
SG: Pnma (62)

---

The structure with the least stability is #Q.